(1)
VASP calculation (PBE-GGA) on an optimized crystal structure of Li7AcGa5.

## Properties
The formation energy comes out at -0.303 eV per atom. As for the total energy: -2.814 eV/atom. Its total moment is 0.0 μB/f.u. The calculation puts the density of states at the Fermi level at 0.34 states/eV per atom.

The structure in CIF format:
```
data_Li7AcGa5
_chemical_formula_sum 'Li14 Ac2 Ga10'
_cell_length_a 5.5349
_cell_length_b 9.2464
_cell_length_c 9.3767
_cell_angle_alpha 90.00
_cell_angle_beta 90.00
_cell_angle_gamma 90.00
_symmetry_space_group_name_H-M 'I m m 2'
_symmetry_Int_Tables_number 44
_symmetry_space_group_name_Hall 'I 2 -2'
loop_
_atom_site_label
_atom_site_type_symbol
_atom_site_fract_x
_atom_site_fract_y
_atom_site_fract_z
_atom_site_occupancy
Li1 Li 0.0000 0.0000 0.0000 1
Li2 Li 0.0000 0.0000 0.2985 1
Li3 Li 0.0000 0.2830 0.1452 1
Li4 Li 0.0000 0.3529 0.6571 1
Li5 Li 0.0000 0.5000 0.3767 1
Ac1 Ac 0.0000 0.0000 0.6507 1
Ga1 Ga 0.0000 0.5000 0.9414 1
Ga2 Ga 0.2445 0.2502 0.3968 1
```

(2)
VASP calculation (PBE-GGA) on an optimized crystal structure of Li2Sm2Tl3.

## Properties
The formation energy comes out at -0.263 eV per atom. As for the total energy: -3.172 eV/atom. Its total moment is 0.0 μB/f.u. The calculation puts the density of states at the Fermi level at 0.68 states/eV per atom.

The structure in CIF format:
```
data_Li2Sm2Tl3
_chemical_formula_sum 'Li4 Sm4 Tl6'
_cell_length_a 3.8488
_cell_length_b 25.9491
_cell_length_c 3.4956
_cell_angle_alpha 90.00
_cell_angle_beta 90.00
_cell_angle_gamma 90.00
_symmetry_space_group_name_H-M 'C m m m'
_symmetry_Int_Tables_number 65
_symmetry_space_group_name_Hall '-C 2 2'
loop_
_atom_site_label
_atom_site_type_symbol
_atom_site_fract_x
_atom_site_fract_y
_atom_site_fract_z
_atom_site_occupancy
Li1 Li 0.0000 0.2151 0.0000 1
Sm1 Sm 0.0000 0.0817 0.0000 1
Tl1 Tl 0.0000 0.3333 0.5000 1
Tl2 Tl 0.0000 0.5000 0.5000 1
```

(3)
VASP calculation (PBE-GGA) on an optimized crystal structure of Ca3GeN3.

## Properties
The value obtained for the uncorrected formation energy is -719.7 meV/atom. As for the total energy: -5.805 eV/atom. Its total moment is 0.8 μB/f.u. The calculation puts the density of states at the Fermi level at 0.14 states/eV per atom.

The structure in CIF format:
```
data_Ca3GeN3
_chemical_formula_sum 'Ca6 Ge2 N6'
_cell_length_a 7.2906
_cell_length_b 7.2906
_cell_length_c 5.0071
_cell_angle_alpha 90.00
_cell_angle_beta 90.00
_cell_angle_gamma 120.00
_symmetry_space_group_name_H-M 'P 63/m'
_symmetry_Int_Tables_number 176
_symmetry_space_group_name_Hall '-P 6c'
loop_
_atom_site_label
_atom_site_type_symbol
_atom_site_fract_x
_atom_site_fract_y
_atom_site_fract_z
_atom_site_occupancy
Ca1 Ca 0.0878 0.3610 0.2500 1
Ge1 Ge 0.3333 0.6667 0.7500 1
N1 N 0.0996 0.3921 0.7500 1
```

(4)
VASP calculation (PBE-GGA) on an optimized crystal structure of RbCaGe2Br.

## Properties
The value obtained for the uncorrected formation energy is 232.2 meV/atom. As for the total energy: -2.543 eV/atom. Its total moment is 2.5 μB/f.u. The calculation puts the density of states at the Fermi level at 0.84 states/eV per atom.

The structure in CIF format:
```
data_RbCaGe2Br
_chemical_formula_sum 'Rb1 Ca1 Ge2 Br1'
_cell_length_a 5.5443
_cell_length_b 5.5443
_cell_length_c 12.2371
_cell_angle_alpha 90.00
_cell_angle_beta 90.00
_cell_angle_gamma 90.00
_symmetry_space_group_name_H-M 'P 4/m m m'
_symmetry_Int_Tables_number 123
_symmetry_space_group_name_Hall '-P 4 2'
loop_
_atom_site_label
_atom_site_type_symbol
_atom_site_fract_x
_atom_site_fract_y
_atom_site_fract_z
_atom_site_occupancy
Rb1 Rb 0.0000 0.0000 0.0000 1
Ca1 Ca 0.0000 0.0000 0.5000 1
Ge1 Ge 0.0000 0.5000 0.5000 1
Br1 Br 0.5000 0.5000 0.0000 1
```

(5)
VASP calculation (PBE-GGA) on an optimized crystal structure of BeCd2W.

## Properties
The formation energy comes out at 0.764 eV per atom. As for the total energy: -3.864 eV/atom. Its total moment is 0.0 μB/f.u. The calculation puts the density of states at the Fermi level at 0.65 states/eV per atom.

The structure in CIF format:
```
data_BeCd2W
_chemical_formula_sum 'Be1 Cd2 W1'
_cell_length_a 2.8208
_cell_length_b 4.3631
_cell_length_c 5.5079
_cell_angle_alpha 90.00
_cell_angle_beta 90.00
_cell_angle_gamma 90.00
_symmetry_space_group_name_H-M 'P m m m'
_symmetry_Int_Tables_number 47
_symmetry_space_group_name_Hall '-P 2 2'
loop_
_atom_site_label
_atom_site_type_symbol
_atom_site_fract_x
_atom_site_fract_y
_atom_site_fract_z
_atom_site_occupancy
Be1 Be 0.0000 0.0000 0.0000 1
Cd1 Cd 0.5000 0.5000 0.2483 1
W1 W 0.0000 0.0000 0.5000 1
```

(6)
VASP calculation (PBE-GGA) on an optimized crystal structure of K2ErAgCl6.

## Properties
The value obtained for the uncorrected formation energy is -1818.8 meV/atom. As for the total energy: -3.888 eV/atom. Its total moment is 0.0 μB/f.u. The calculation puts the density of states at the Fermi level at 0.00 states/eV per atom.

The structure in CIF format:
```
data_K2ErAgCl6
_chemical_formula_sum 'K4 Er2 Ag2 Cl12'
_cell_length_a 7.2996
_cell_length_b 7.6586
_cell_length_c 12.5174
_cell_angle_alpha 90.00
_cell_angle_beta 125.05
_cell_angle_gamma 90.00
_symmetry_space_group_name_H-M 'P 1 21/c 1'
_symmetry_Int_Tables_number 14
_symmetry_space_group_name_Hall '-P 2ybc'
loop_
_atom_site_label
_atom_site_type_symbol
_atom_site_fract_x
_atom_site_fract_y
_atom_site_fract_z
_atom_site_occupancy
K1 K 0.2279 0.0711 0.2493 1
Er1 Er 0.5000 0.0000 0.0000 1
Ag1 Ag 0.0000 0.0000 0.5000 1
Cl1 Cl 0.1601 0.1888 0.9517 1
Cl2 Cl 0.2656 0.7134 0.9507 1
Cl3 Cl 0.3502 0.0256 0.7529 1
```

(7)
VASP calculation (PBE-GGA) on an optimized crystal structure of LiMoBr2.

## Properties
The value obtained for the uncorrected formation energy is 20.3 meV/atom. As for the total energy: -4.002 eV/atom. Its total moment is 4.4 μB/f.u. The calculation puts the density of states at the Fermi level at 0.25 states/eV per atom.

The structure in CIF format:
```
data_LiMoBr2
_chemical_formula_sum 'Li1 Mo1 Br2'
_cell_length_a 3.7677
_cell_length_b 3.9863
_cell_length_c 7.1728
_cell_angle_alpha 90.00
_cell_angle_beta 90.00
_cell_angle_gamma 90.00
_symmetry_space_group_name_H-M 'P m m m'
_symmetry_Int_Tables_number 47
_symmetry_space_group_name_Hall '-P 2 2'
loop_
_atom_site_label
_atom_site_type_symbol
_atom_site_fract_x
_atom_site_fract_y
_atom_site_fract_z
_atom_site_occupancy
Li1 Li 0.0000 0.0000 0.0000 1
Mo1 Mo 0.0000 0.5000 0.5000 1
Br1 Br 0.5000 0.0000 0.5000 1
Br2 Br 0.5000 0.5000 0.0000 1
```

(8)
VASP calculation (PBE-GGA) on an optimized crystal structure of K2AgSbCl6.

## Properties
The value obtained for the uncorrected formation energy is -1241.3 meV/atom. As for the total energy: -3.266 eV/atom. Its total moment is 0.0 μB/f.u. The calculation puts the density of states at the Fermi level at 0.00 states/eV per atom.

The structure in CIF format:
```
data_K2AgSbCl6
_chemical_formula_sum 'K2 Ag1 Sb1 Cl6'
_cell_length_a 7.4412
_cell_length_b 7.4509
_cell_length_c 7.4590
_cell_angle_alpha 119.58
_cell_angle_beta 119.54
_cell_angle_gamma 90.46
_symmetry_space_group_name_H-M 'P -1'
_symmetry_Int_Tables_number 2
_symmetry_space_group_name_Hall '-P 1'
loop_
_atom_site_label
_atom_site_type_symbol
_atom_site_fract_x
_atom_site_fract_y
_atom_site_fract_z
_atom_site_occupancy
K1 K 0.2374 0.2692 0.0081 1
Ag1 Ag 0.5000 0.0000 0.5000 1
Sb1 Sb 0.0000 0.5000 0.5000 1
Cl1 Cl 0.2026 0.7014 0.9953 1
Cl2 Cl 0.2231 0.8426 0.5760 1
Cl3 Cl 0.3098 0.3185 0.5057 1
```

(9)
VASP calculation (PBE-GGA) on an optimized crystal structure of Sm5HgAu2.

## Properties
The formation energy comes out at -0.520 eV per atom. As for the total energy: -4.326 eV/atom. Its total moment is 0.0 μB/f.u. The calculation puts the density of states at the Fermi level at 1.29 states/eV per atom.

The structure in CIF format:
```
data_Sm5HgAu2
_chemical_formula_sum 'Sm20 Hg4 Au8'
_cell_length_a 8.2875
_cell_length_b 8.2875
_cell_length_c 13.0512
_cell_angle_alpha 90.00
_cell_angle_beta 90.00
_cell_angle_gamma 90.00
_symmetry_space_group_name_H-M 'I 4/m c m'
_symmetry_Int_Tables_number 140
_symmetry_space_group_name_Hall '-I 4 2c'
loop_
_atom_site_label
_atom_site_type_symbol
_atom_site_fract_x
_atom_site_fract_y
_atom_site_fract_z
_atom_site_occupancy
Sm1 Sm 0.0000 0.0000 0.0000 1
Sm2 Sm 0.1564 0.3436 0.1453 1
Hg1 Hg 0.0000 0.0000 0.2500 1
Au1 Au 0.1344 0.3656 0.5000 1
```

(10)
VASP calculation (PBE-GGA) on an optimized crystal structure of SrY5S6.

## Properties
The value obtained for the uncorrected formation energy is -1995.2 meV/atom. As for the total energy: -6.892 eV/atom. Its total moment is 0.0 μB/f.u. The calculation puts the density of states at the Fermi level at 0.43 states/eV per atom.

The structure in CIF format:
```
data_SrY5S6
_chemical_formula_sum 'Sr2 Y10 S12'
_cell_length_a 6.8577
_cell_length_b 11.8961
_cell_length_c 6.8856
_cell_angle_alpha 90.00
_cell_angle_beta 109.41
_cell_angle_gamma 90.00
_symmetry_space_group_name_H-M 'C 1 2/m 1'
_symmetry_Int_Tables_number 12
_symmetry_space_group_name_Hall '-C 2y'
loop_
_atom_site_label
_atom_site_type_symbol
_atom_site_fract_x
_atom_site_fract_y
_atom_site_fract_z
_atom_site_occupancy
Sr1 Sr 0.0000 0.0000 0.0000 1
Y1 Y 0.0000 0.1627 0.5000 1
Y2 Y 0.0000 0.3329 0.0000 1
Y3 Y 0.0000 0.5000 0.5000 1
S1 S 0.2417 0.5000 0.2523 1
S2 S 0.2430 0.3289 0.7424 1
```

(11)
VASP calculation (PBE-GGA) on an optimized crystal structure of Ba2Hg12Pb.

## Properties
The formation energy comes out at -0.211 eV per atom. As for the total energy: -0.956 eV/atom. Its total moment is 0.0 μB/f.u. The calculation puts the density of states at the Fermi level at 0.46 states/eV per atom.

The structure in CIF format:
```
data_Ba2Hg12Pb
_chemical_formula_sum 'Ba4 Hg24 Pb2'
_cell_length_a 7.0746
_cell_length_b 7.0746
_cell_length_c 18.3777
_cell_angle_alpha 90.00
_cell_angle_beta 90.00
_cell_angle_gamma 90.00
_symmetry_space_group_name_H-M 'P 4/n b m'
_symmetry_Int_Tables_number 125
loop_
_symmetry_equiv_pos_as_xyz
'x,y,z'
'-x,-y,-z'
'-y+1/2,x,z'
'y+1/2,-x,-z'
'-x+1/2,-y+1/2,z'
'x+1/2,y+1/2,-z'
'y,-x+1/2,z'
'-y,x+1/2,-z'
'x,-y+1/2,-z'
'-x,y+1/2,z'
'-y+1/2,-x+1/2,-z'
'y+1/2,x+1/2,z'
'-x+1/2,y,-z'
'x+1/2,-y,z'
'y,x,-z'
'-y,-x,z'
loop_
_atom_site_label
_atom_site_type_symbol
_atom_site_fract_x
_atom_site_fract_y
_atom_site_fract_z
_atom_site_occupancy
Ba1 Ba 0.2500 0.7500 0.2441 1
Hg1 Hg 0.0001 0.9999 0.3969 1
Hg2 Hg 0.0923 0.5923 0.0656 1
Hg3 Hg 0.2500 0.2500 0.1436 1
Hg4 Hg 0.2500 0.2500 0.3040 1
Pb1 Pb 0.2500 0.7500 0.5000 1
```

(12)
VASP calculation (PBE-GGA) on an optimized crystal structure of FeSbPS2.

## Properties
The value obtained for the uncorrected formation energy is 341.8 meV/atom. As for the total energy: -4.908 eV/atom. Its total moment is 2.5 μB/f.u. The calculation puts the density of states at the Fermi level at 1.00 states/eV per atom.

The structure in CIF format:
```
data_FeSbPS2
_chemical_formula_sum 'Fe1 Sb1 P1 S2'
_cell_length_a 4.3868
_cell_length_b 4.3868
_cell_length_c 4.7918
_cell_angle_alpha 90.00
_cell_angle_beta 90.00
_cell_angle_gamma 90.00
_symmetry_space_group_name_H-M 'P 4/m m m'
_symmetry_Int_Tables_number 123
_symmetry_space_group_name_Hall '-P 4 2'
loop_
_atom_site_label
_atom_site_type_symbol
_atom_site_fract_x
_atom_site_fract_y
_atom_site_fract_z
_atom_site_occupancy
Fe1 Fe 0.0000 0.0000 0.0000 1
Sb1 Sb 0.5000 0.5000 0.5000 1
P1 P 0.0000 0.0000 0.5000 1
S1 S 0.0000 0.5000 0.0000 1
```

Q: The highest total moment belongs to which entry?
A: LiMoBr2

Q: The highest total moment belongs to which entry?
A: LiMoBr2